Material: CsLiPt
Method: DFT, PBE
State: relaxed

The value obtained for the total magnetization is 0.00 Bohr magnetons per cell. The calculation puts the relative energy among the computed polymorphs at 0.000 eV per atom.

The space group is F-43m (No. 216) and the conventional cell measures 7.234, 7.234 and 7.234 Å, with angles of 90.00, 90.00 and 90.00 degrees. The distinct sites, in fractional coordinates, are Cs at (0.000, 0.000, 0.000), Li at (0.000, 0.000, 0.500) and Pt at (0.250, 0.250, 0.250).